1.
A plane-wave DFT calculation with GGA-PBE was carried out for a geometry-optimized TbTmGa2 structure.

The calculation puts the magnetic moment at 0.00 μB per atom. Its energy relative to the elements is -422 meV per atom. The value obtained for the density of states at the Fermi level is 5.81 states/eV per cell.

It has space group R-3m (No. 166, hexagonal axes), with a = 3.6220 Å, b = 3.6220 Å, c = 26.0404 Å, α = 90.00°, β = 90.00° and γ = 120.00°. Symmetry generates all atoms from Tb at (0.0000, 0.0000, 0.0000), Tm at (0.0000, 0.0000, 0.5000) and Ga at (0.0000, 0.0000, 0.2488).

2.
A plane-wave DFT calculation with GGA-PBE was carried out for a geometry-optimized LaAsI2Cl structure.

The calculation puts the magnetic moment at 0.12 μB per atom. The value obtained for the density of states at the Fermi level is 4.43 states/eV per cell. Its uncorrected formation energy is -137 kJ/mol of formula units.

It has space group P4/mmm (No. 123), with a = 5.863 Å, b = 5.863 Å, c = 4.932 Å, α = 90.00°, β = 90.00° and γ = 90.00°. Symmetry generates all atoms from La at (0.000, 0.000, 0.000), As at (0.500, 0.500, 0.500), I at (0.000, 0.500, 0.500) and Cl at (0.500, 0.500, 0.000).

3.
A plane-wave DFT calculation with GGA-PBE was carried out for a geometry-optimized PmNdRuAu structure.

The calculation puts the magnetic moment at 0.00 μB per atom. Its energy relative to the elements is -434 meV per atom. The value obtained for the density of states at the Fermi level is 13.20 states/eV per cell.

It has space group F-43m (No. 216), with a = 7.207 Å, b = 7.207 Å, c = 7.207 Å, α = 90.00°, β = 90.00° and γ = 90.00°. Symmetry generates all atoms from Pm at (0.000, 0.000, 0.000), Nd at (0.000, 0.000, 0.500), Ru at (0.250, 0.250, 0.250) and Au at (0.250, 0.250, 0.750).

4.
A plane-wave DFT calculation with GGA-PBE was carried out for a geometry-optimized ScTcPb2 structure.

As for the energy above the most stable polymorph in this dataset: 0.176 eV/atom. The calculation puts the magnetic moment at 0.15 μB per atom. Its energy relative to the elements is 250 meV per atom. The value obtained for the density of states at the Fermi level is 3.28 states/eV per cell.

It has space group P2/m (No. 10), with a = 3.363 Å, b = 4.653 Å, c = 5.749 Å, α = 90.00°, β = 98.04° and γ = 90.00°. Symmetry generates all atoms from Sc at (0.000, 0.000, 0.000), Tc at (0.500, 0.000, 0.500) and Pb at (0.306, 0.500, 0.740).

Which value of magnetic moment does entry 2 give?
0.12 μB per atom